DFT (GGA-PBE) results for a relaxed structure of AsP2W.

a = 3.1674 Å, b = 3.1674 Å, c = 22.4130 Å
α = 90.00°, β = 90.00°, γ = 120.00°
Space group R-3m (No. 166, hexagonal axes)
Inequivalent atoms, fractional coordinates:
1 As 0.0000 0.0000 0.0000
2 P 0.0000 0.0000 0.2411
3 W 0.0000 0.0000 0.5000

For the calculated density, the calculation gives 8.20 g/cm3. The magnetic moment is 0.0 μB per formula unit. The value obtained for the calculated formation energy is 0.12 eV per atom. The value obtained for the density of states at the Fermi level is 4.4 states/eV/cell. The value obtained for the final energy is -6.982 eV per atom.

***

DFT (GGA-PBE) results for a relaxed structure of AsP2W.

a = 8.500 Å, b = 3.174 Å, c = 5.574 Å
α = 90.00°, β = 101.40°, γ = 90.00°
Space group Cm (No. 8)
Inequivalent atoms, fractional coordinates:
1 As 0.000 0.000 0.000
2 P 0.181 0.000 0.713
3 P 0.341 0.000 0.373
4 W 0.130 0.500 0.374

For the calculated density, the calculation gives 7.22 g/cm3. The magnetic moment is 0.0 μB per formula unit. The value obtained for the calculated formation energy is 0.07 eV per atom. The value obtained for the density of states at the Fermi level is 3.6 states/eV/cell. The value obtained for the final energy is -7.039 eV per atom.

***

DFT (GGA-PBE) results for a relaxed structure of AsPW.

a = 8.989 Å, b = 3.302 Å, c = 3.302 Å
α = 90.00°, β = 111.34°, γ = 90.00°
Space group Cm (No. 8)
Inequivalent atoms, fractional coordinates:
1 As 0.000 0.000 0.000
2 P 0.177 0.500 0.675
3 W 0.324 0.000 0.322

For the calculated density, the calculation gives 10.54 g/cm3. The magnetic moment is 0.0 μB per formula unit. The value obtained for the calculated formation energy is 0.17 eV per atom. The offset from the most stable computed form is 205.0 meV/atom. The value obtained for the density of states at the Fermi level is 3.4 states/eV/cell. The value obtained for the final energy is -7.500 eV per atom.

***

DFT (GGA-PBE) results for a relaxed structure of AsP2W.

a = 4.557 Å, b = 4.150 Å, c = 7.594 Å
α = 90.00°, β = 90.00°, γ = 90.00°
Space group Amm2 (No. 38)
Inequivalent atoms, fractional coordinates:
1 As 0.000 0.000 0.000
2 P 0.000 0.000 0.667
3 P 0.500 0.000 0.458
4 W 0.500 0.000 0.804

For the calculated density, the calculation gives 7.42 g/cm3. The magnetic moment is 0.0 μB per formula unit. The value obtained for the calculated formation energy is 0.15 eV per atom. The value obtained for the density of states at the Fermi level is 4.7 states/eV/cell. The value obtained for the final energy is -6.958 eV per atom.

***

- Which of these has the lowest calculated formation energy?
  number 2